1.
The following is a DFT calculation (GGA-PBE) of a relaxed structure of Y2SiRh.

Lattice parameters (Å, degrees): 3.507 4.578 5.833 90.00 90.00 90.00
Fractional positions:
Y 0.000 0.000 0.000
Y 0.500 0.500 0.414
Si 0.500 0.500 0.912
Rh 0.000 0.000 0.476

Calculated values
Formation energy without anion corrections ... -0.423 eV per atom
Space group ... Pmm2, No. 25
Fermi-level density of states ... 2.75 states/eV/cell


2.
The following is a DFT calculation (GGA-PBE) of a relaxed structure of La3TbRh8.

Lattice parameters (Å, degrees): 9.406 9.406 9.406 33.49 33.49 33.49
Fractional positions:
La 0.000 0.000 0.000
La 0.125 0.125 0.125
La 0.500 0.500 0.500
Tb 0.625 0.625 0.625
Rh 0.060 0.562 0.562
Rh 0.064 0.064 0.564
Rh 0.064 0.564 0.064
Rh 0.312 0.312 0.312
Rh 0.562 0.060 0.562
Rh 0.562 0.562 0.060
Rh 0.564 0.064 0.064
Rh 0.813 0.813 0.813

Calculated values
Space group ... R3m, No. 160
Fermi-level density of states ... 6.56 states/eV/cell
Energy of formation ... -702 meV per atom


3.
The following is a DFT calculation (GGA-PBE) of a relaxed structure of SbOs2Br.

Lattice parameters (Å, degrees): 4.589 4.589 5.570 102.82 102.82 39.51
Fractional positions:
Sb 0.000 0.000 0.000
Os 0.251 0.251 0.786
Os 0.749 0.749 0.214
Br 0.500 0.500 0.500

Calculated values
Formation energy without anion corrections ... 1.038 eV per atom
Space group ... C2/m, No. 12
Fermi-level density of states ... 3.37 states/eV/cell
Excess energy over the best structure of this formula in the dataset ... 612.1 meV per atom


4.
The following is a DFT calculation (GGA-PBE) of a relaxed structure of DyTh2Mg6.

Lattice parameters (Å, degrees): 6.223 6.223 6.223 94.05 94.05 94.05
Fractional positions:
Dy 0.000 0.000 0.000
Th 0.342 0.342 0.342
Th 0.658 0.658 0.658
Mg 0.164 0.500 0.836
Mg 0.164 0.836 0.500
Mg 0.500 0.164 0.836
Mg 0.500 0.836 0.164
Mg 0.836 0.164 0.500
Mg 0.836 0.500 0.164

Calculated values
Space group ... R-3m, No. 166
Fermi-level density of states ... 7.48 states/eV/cell
Energy of formation ... -1 meV per atom


5.
The following is a DFT calculation (GGA-PBE) of a relaxed structure of Ca5BC4Cl3.

Lattice parameters (Å, degrees): 7.275 7.275 18.841 90.00 90.00 149.14
Fractional positions:
Ca 0.052 0.948 0.641
Ca 0.052 0.948 0.859
Ca 0.158 0.842 0.250
Ca 0.361 0.639 0.564
Ca 0.361 0.639 0.936
Ca 0.639 0.361 0.064
Ca 0.639 0.361 0.436
Ca 0.842 0.158 0.750
Ca 0.948 0.052 0.141
Ca 0.948 0.052 0.359
B 0.463 0.537 0.750
B 0.537 0.463 0.250
C 0.040 0.960 0.015
C 0.040 0.960 0.485
C 0.447 0.553 0.674
C 0.447 0.553 0.826
C 0.553 0.447 0.174
C 0.553 0.447 0.326
C 0.960 0.040 0.515
C 0.960 0.040 0.985
Cl 0.191 0.809 0.750
Cl 0.289 0.711 0.085
Cl 0.289 0.711 0.415
Cl 0.711 0.289 0.585
Cl 0.711 0.289 0.915
Cl 0.809 0.191 0.250

Calculated values
Formation energy without anion corrections ... -0.937 eV per atom
Space group ... Cmcm, No. 63


6.
The following is a DFT calculation (GGA-PBE) of a relaxed structure of Rb2FeSnCl6.

Lattice parameters (Å, degrees): 7.472 7.472 7.472 60.00 60.00 60.00
Fractional positions:
Rb 0.250 0.250 0.250
Rb 0.750 0.750 0.750
Fe 0.000 0.000 0.000
Sn 0.500 0.500 0.500
Cl 0.235 0.235 0.765
Cl 0.235 0.765 0.235
Cl 0.235 0.765 0.765
Cl 0.765 0.235 0.235
Cl 0.765 0.235 0.765
Cl 0.765 0.765 0.235

Calculated values
Formation energy without anion corrections ... -1.291 eV per atom
Space group ... Fm-3m, No. 225
Fermi-level density of states ... 6.54 states/eV/cell


no.,total magnetization (μB per formula unit)
1,0.00
2,0.00
3,0.00
4,0.00
5,0.00
6,4.00